1.
Compound: YZnInTe3
Source: OQMD via LeMat-Bulk
Functional: GGA-PBE
Structure: optimized geometry

## Properties
The theoretical density is 5.481 g/cm3. The calculation puts the magnetic moment at 0.0 μB/f.u. The calculation puts the excess energy over the best structure of this formula in the dataset at 16 meV/atom. The calculated volume comes out at 32.92 Å³ per atom. The calculated total energy is -24.52 eV/f.u.

Cell lengths 15.530, 4.350, 11.695 Å; angles 90.00, 90.00, 90.00 degrees
Fractional positions:
In  0.260  0.750  0.037
In  0.760  0.750  0.463
In  0.240  0.250  0.537
In  0.740  0.250  0.963
Te  0.104  0.250  0.079
Te  0.589  0.750  0.114
Te  0.352  0.250  0.250
Te  0.852  0.250  0.250
Te  0.089  0.750  0.386
Te  0.604  0.250  0.421
Te  0.396  0.750  0.579
Te  0.911  0.250  0.614
Te  0.148  0.750  0.750
Te  0.648  0.750  0.750
Te  0.411  0.250  0.886
Te  0.896  0.750  0.921
Y  0.976  0.750  0.159
Y  0.476  0.750  0.341
Y  0.524  0.250  0.659
Y  0.024  0.250  0.841
Zn  0.483  0.250  0.101
Zn  0.983  0.250  0.399
Zn  0.017  0.750  0.601
Zn  0.517  0.750  0.899

---

2.
Compound: YZnInTe3
Source: OQMD via LeMat-Bulk
Functional: GGA-PBE
Structure: optimized geometry

## Properties
The theoretical density is 5.895 g/cm3. The calculation puts the magnetic moment at 0.0 μB/f.u. The calculation puts the excess energy over the best structure of this formula in the dataset at 59 meV/atom. The calculated volume comes out at 30.61 Å³ per atom. The calculated total energy is -24.27 eV/f.u.

Cell lengths 12.507, 4.503, 13.043 Å; angles 90.00, 90.00, 90.00 degrees
Fractional positions:
In  0.819  0.500  0.006
In  0.319  0.500  0.494
In  0.681  0.000  0.506
In  0.181  0.000  0.994
Te  0.597  0.000  0.063
Te  0.963  0.000  0.147
Te  0.224  0.500  0.188
Te  0.724  0.500  0.312
Te  0.463  0.000  0.353
Te  0.097  0.000  0.437
Te  0.903  0.500  0.563
Te  0.537  0.500  0.647
Te  0.276  0.000  0.688
Te  0.776  0.000  0.812
Te  0.037  0.500  0.853
Te  0.403  0.500  0.937
Y  0.477  0.500  0.184
Y  0.977  0.500  0.316
Y  0.023  0.000  0.684
Y  0.523  0.000  0.816
Zn  0.757  0.000  0.199
Zn  0.257  0.000  0.301
Zn  0.743  0.500  0.699
Zn  0.243  0.500  0.801

---

3.
Compound: YZnInTe3
Source: OQMD via LeMat-Bulk
Functional: GGA-PBE
Structure: optimized geometry

## Properties
The theoretical density is 5.688 g/cm3. The calculation puts the magnetic moment at 0.0 μB/f.u. The calculation puts the excess energy over the best structure of this formula in the dataset at 120 meV/atom. The calculated volume comes out at 31.72 Å³ per atom. The calculated total energy is -23.90 eV/f.u.

Cell lengths 10.009, 10.009, 9.209 Å; angles 102.41, 102.41, 25.03 degrees
Fractional positions:
In  0.131  0.131  0.071
In  0.869  0.869  0.929
Te  0.500  0.500  0.000
Te  0.323  0.323  0.182
Te  0.669  0.669  0.349
Te  0.000  0.000  0.500
Te  0.331  0.331  0.651
Te  0.677  0.677  0.818
Y  0.828  0.828  0.420
Y  0.172  0.172  0.580
Zn  0.464  0.464  0.278
Zn  0.536  0.536  0.722

---

4.
Compound: YZnInTe3
Source: OQMD via LeMat-Bulk
Functional: GGA-PBE
Structure: optimized geometry

## Properties
The theoretical density is 5.429 g/cm3. The calculation puts the magnetic moment at 0.0 μB/f.u. The calculation puts the excess energy over the best structure of this formula in the dataset at 24 meV/atom. The calculated volume comes out at 33.23 Å³ per atom. The calculated total energy is -24.48 eV/f.u.

Cell lengths 8.723, 4.343, 11.085 Å; angles 90.00, 108.28, 90.00 degrees
Fractional positions:
In  0.265  0.250  0.292
In  0.735  0.750  0.708
Te  0.440  0.750  0.147
Te  0.947  0.750  0.157
Te  0.766  0.250  0.445
Te  0.234  0.750  0.555
Te  0.053  0.250  0.843
Te  0.560  0.250  0.853
Y  0.691  0.250  0.143
Y  0.309  0.750  0.857
Zn  0.921  0.750  0.390
Zn  0.079  0.250  0.610

---

5.
Compound: YZnInTe3
Source: OQMD via LeMat-Bulk
Functional: GGA-PBE
Structure: optimized geometry

## Properties
The theoretical density is 5.659 g/cm3. The calculation puts the magnetic moment at 0.0 μB/f.u. The calculation puts the excess energy over the best structure of this formula in the dataset at 1 meV/atom. The calculated volume comes out at 31.88 Å³ per atom. The calculated total energy is -24.61 eV/f.u.

Cell lengths 4.329, 7.968, 11.526 Å; angles 90.00, 90.00, 74.24 degrees
Fractional positions:
In  0.243  0.514  0.250
In  0.757  0.486  0.750
Te  0.637  0.727  0.062
Te  0.925  0.151  0.250
Te  0.637  0.727  0.438
Te  0.363  0.273  0.562
Te  0.075  0.849  0.750
Te  0.363  0.273  0.938
Y  0.000  0.000  0.000
Y  0.000  0.000  0.500
Zn  0.535  0.930  0.250
Zn  0.465  0.070  0.750

---

6.
Compound: YZnInTe3
Source: OQMD via LeMat-Bulk
Functional: GGA-PBE
Structure: optimized geometry

## Properties
The theoretical density is 5.931 g/cm3. The calculation puts the magnetic moment at 0.0 μB/f.u. The calculation puts the excess energy over the best structure of this formula in the dataset at 110 meV/atom. The calculated volume comes out at 30.42 Å³ per atom. The calculated total energy is -23.96 eV/f.u.

Cell lengths 9.016, 4.588, 17.650 Å; angles 90.00, 90.00, 90.00 degrees
Fractional positions:
In  0.572  0.750  0.217
In  0.072  0.750  0.283
In  0.928  0.250  0.717
In  0.428  0.250  0.783
Te  0.624  0.250  0.054
Te  0.001  0.750  0.089
Te  0.306  0.250  0.212
Te  0.806  0.250  0.288
Te  0.501  0.750  0.411
Te  0.124  0.250  0.446
Te  0.876  0.750  0.554
Te  0.499  0.250  0.589
Te  0.194  0.750  0.712
Te  0.694  0.750  0.788
Te  0.999  0.250  0.911
Te  0.376  0.750  0.946
Y  0.253  0.250  0.045
Y  0.753  0.250  0.455
Y  0.247  0.750  0.545
Y  0.747  0.750  0.955
Zn  0.865  0.250  0.142
Zn  0.365  0.250  0.358
Zn  0.635  0.750  0.642
Zn  0.135  0.750  0.858

---

7.
Compound: ZnIn2Te
Source: OQMD via LeMat-Bulk
Functional: GGA-PBE
Structure: optimized geometry

## Properties
The theoretical density is 6.490 g/cm3. The calculated volume comes out at 27.03 Å³ per atom. The calculated total energy is -9.47 eV/f.u.

Cell lengths 5.348, 5.348, 5.348 Å; angles 60.00, 60.00, 60.00 degrees
Fractional positions:
In  0.000  0.000  0.000
In  0.250  0.250  0.250
Te  0.750  0.750  0.750
Zn  0.500  0.500  0.500

---

8.
Compound: ZnInTe3
Source: OQMD via LeMat-Bulk
Functional: GGA-PBE
Structure: optimized geometry

## Properties
The theoretical density is 5.530 g/cm3. The calculated volume comes out at 33.81 Å³ per atom. The calculated total energy is -14.13 eV/f.u.

Cell lengths 7.085, 7.085, 7.778 Å; angles 90.00, 90.00, 120.00 degrees
Fractional positions:
In  0.667  0.333  0.500
In  0.333  0.667  0.500
Te  0.637  0.000  0.250
Te  0.363  0.363  0.250
Te  0.000  0.637  0.250
Te  0.363  0.000  0.750
Te  0.000  0.363  0.750
Te  0.637  0.637  0.750
Zn  0.000  0.000  0.286
Zn  0.000  0.000  0.714

---

9.
Compound: ZnInTe
Source: OQMD via LeMat-Bulk
Functional: GGA-PBE
Structure: optimized geometry

## Properties
The theoretical density is 4.206 g/cm3. The calculation puts the excess energy over the best structure of this formula in the dataset at 107 meV/atom. The calculated volume comes out at 40.51 Å³ per atom. The calculated total energy is -6.47 eV/f.u.

Cell lengths 4.754, 4.754, 5.378 Å; angles 90.00, 90.00, 90.00 degrees
Fractional positions:
In  0.000  0.000  0.000
Te  0.500  0.500  0.000
Zn  0.500  0.500  0.500

---

10.
Compound: ZrIn2Te
Source: OQMD via LeMat-Bulk
Functional: GGA-PBE
Structure: optimized geometry

## Properties
The theoretical density is 7.507 g/cm3. The calculation puts the magnetic moment at 0.0 μB/f.u. The calculated volume comes out at 24.80 Å³ per atom. The calculated total energy is -17.02 eV/f.u.

Cell lengths 5.196, 5.196, 5.196 Å; angles 60.00, 60.00, 60.00 degrees
Fractional positions:
In  0.000  0.000  0.000
In  0.750  0.750  0.750
Te  0.500  0.500  0.500
Zr  0.250  0.250  0.250

---

11.
Compound: Zr3InTe5
Source: OQMD via LeMat-Bulk
Functional: GGA-PBE
Structure: optimized geometry

## Properties
The theoretical density is 5.862 g/cm3. The calculation puts the magnetic moment at 0.0 μB/f.u. The calculated volume comes out at 32.31 Å³ per atom. The calculated total energy is -50.02 eV/f.u.

Cell lengths 6.344, 6.344, 8.343 Å; angles 90.00, 90.00, 120.00 degrees
Fractional positions:
In  0.000  0.000  0.000
Te  0.667  0.333  0.228
Te  0.333  0.667  0.228
Te  0.000  0.000  0.500
Te  0.667  0.333  0.772
Te  0.333  0.667  0.772
Zr  0.500  0.000  0.500
Zr  0.000  0.500  0.500
Zr  0.500  0.500  0.500

---

12.
Compound: ZrInTe
Source: OQMD via LeMat-Bulk
Functional: GGA-PBE
Structure: optimized geometry

## Properties
The theoretical density is 6.459 g/cm3. The calculation puts the magnetic moment at 0.1 μB/f.u. The calculated volume comes out at 28.59 Å³ per atom. The calculated total energy is -14.04 eV/f.u.

Cell lengths 4.950, 4.950, 4.950 Å; angles 60.00, 60.00, 60.00 degrees
Fractional positions:
In  0.250  0.250  0.250
Te  0.000  0.000  0.000
Zr  0.750  0.750  0.750